No. 1
The following is a DFT calculation (GGA-PBE) of crystalline Be2CdAu at its relaxed geometry.

Values from the calculation:
**M_tot**: 0.00 μB/atom
**Space-group type**: No. 99
**Calculated volume**: 13.93 Å³/atom
**Crystal system**: tetragonal
**DOS at the Fermi energy**: 0.67 states/eV per cell

Cell: 3.0332 3.0355 6.0518 Å, 90.00 90.00 90.00°
Last column: nearest neighbours and their distance in Å.
Fractional positions:
Be (0.0000, 0.0000, 0.0187)  4 Be 2.42, 4 Au 2.47, 1 Cd 2.68
Be (0.5000, 0.5000, 0.2028)  1 Au 2.34, 4 Be 2.42
Au (0.5000, 0.5000, 0.8163)  5 Be 2.34-2.47
Cd (0.0000, 0.0000, 0.4623)  5 Be 2.66-2.68



No. 2
The following is a DFT calculation (GGA-PBE) of crystalline Be3CdAu6 at its relaxed geometry.

Values from the calculation:
**M_tot**: 0.00 μB/atom
**Space-group type**: No. 1
**Calculated volume**: 16.24 Å³/atom
**Crystal system**: triclinic
**DOS at the Fermi energy**: 2.63 states/eV per cell

Cell: 5.4922 5.7549 6.2782 Å, 90.18 110.78 116.79°
Last column: nearest neighbours and their distance in Å.
Fractional positions:
Be (0.5659, 0.2263, 0.0061)  2 Be 2.34-2.48, 5 Au 2.39-2.50
Be (0.3614, 0.7716, 0.0122)  2 Be 2.34-2.43, 5 Au 2.38-2.45
Be (0.4660, 0.0684, 0.3479)  5 Au 2.34-2.47, 2 Be 2.43-2.48
Cd (0.8671, 0.9549, 0.8145)  8 Au 2.87-3.05, 3 Be 3.15-3.20
Au (0.3353, 0.4454, 0.7434)  2 Be 2.43-2.44
Au (0.0100, 0.6567, 0.1848)  3 Be 2.38-2.44
Au (0.8683, 0.0831, 0.2865)  3 Be 2.34-2.45
Au (0.2713, 0.9134, 0.6468)  3 Be 2.39-2.46
Au (0.8061, 0.4155, 0.7025)  3 Be 2.47-2.72, 1 Au 2.75
Au (0.4486, 0.4646, 0.2553)  3 Be 2.39-2.50



No. 3
The following is a DFT calculation (GGA-PBE) of crystalline BeCd2Au at its relaxed geometry.

Values from the calculation:
**M_tot**: 0.00 μB/atom
**Space-group type**: No. 123
**Calculated volume**: 17.44 Å³/atom
**Crystal system**: tetragonal
**DOS at the Fermi energy**: 1.60 states/eV per cell

Cell: 4.1019 4.1023 4.1448 Å, 90.00 90.00 90.00°
Last column: nearest neighbours and their distance in Å.
Fractional positions:
Be (0.0000, 0.5000, 0.5000)  4 Au 2.90, 8 Cd 2.92
Au (0.5000, 0.0000, 0.5000)  4 Be 2.90, 8 Cd 2.92
Cd (0.0000, 0.0000, 0.0000)  4 Cd 2.90, 4 Au 2.92, 4 Be 2.92
Cd (0.5000, 0.5000, 0.0000)  4 Cd 2.90, 4 Be 2.92, 4 Au 2.92



no.,calculated formation energy (meV per atom)
1,102.6
2,-70.3
3,180.1